[1]
BaSrV4O12, relaxed, DFT GGA+U; electronic total energy = -7.170 eV/atom; symmetry = No. 123; magnetization = 0.000 μB/cell
1.0
5.407 0.000 0.000
0.000 5.407 0.000
0.000 0.000 7.642
Ba Sr V O
1 1 4 12
Direct
0.000 0.000 0.000
0.500 0.500 0.500
0.000 0.500 0.253
0.000 0.500 0.747
0.500 0.000 0.253
0.500 0.000 0.747
0.000 0.500 0.000
0.000 0.500 0.500
0.252 0.252 0.255
0.252 0.252 0.745
0.252 0.748 0.255
0.252 0.748 0.745
0.500 0.000 0.000
0.500 0.000 0.500
0.748 0.252 0.255
0.748 0.252 0.745
0.748 0.748 0.255
0.748 0.748 0.745


[2]
Ba2SrWO6, relaxed, DFT GGA+U; electronic total energy = -6.929 eV/atom; symmetry = No. 2; magnetization = 0.000 μB/cell
1.0
6.110 0.000 0.000
-3.046 5.299 0.000
-0.024 -3.514 5.098
Ba Sr W O
2 1 1 6
Direct
0.248 0.492 0.239
0.752 0.508 0.761
0.000 0.000 0.500
0.500 0.000 0.000
0.231 0.993 0.175
0.284 0.928 0.706
0.314 0.555 0.822
0.686 0.445 0.178
0.716 0.072 0.294
0.769 0.007 0.825


[3]
BaSrW4O12, relaxed, DFT GGA+U; electronic total energy = -7.326 eV/atom; symmetry = No. 123; magnetization = 4.003 μB/cell
1.0
5.639 0.000 0.000
0.000 5.639 0.000
0.000 0.000 8.059
Ba Sr W O
1 1 4 12
Direct
0.000 0.000 0.000
0.500 0.500 0.500
0.000 0.500 0.252
0.000 0.500 0.748
0.500 0.000 0.252
0.500 0.000 0.748
0.000 0.500 0.000
0.000 0.500 0.500
0.255 0.255 0.254
0.255 0.255 0.746
0.255 0.745 0.254
0.255 0.745 0.746
0.500 0.000 0.000
0.500 0.000 0.500
0.745 0.255 0.254
0.745 0.255 0.746
0.745 0.745 0.254
0.745 0.745 0.746


[4]
BaSrW2O8, relaxed, DFT GGA+U; electronic total energy = -7.261 eV/atom; symmetry = No. 119; magnetization = 0.000 μB/cell
1.0
-3.995 3.995 3.572
3.995 -3.995 3.572
3.995 3.995 -3.572
Ba Sr W O
1 1 2 8
Direct
0.000 0.000 0.000
0.250 0.750 0.500
0.500 0.500 0.000
0.750 0.250 0.500
0.346 0.164 0.818
0.346 0.528 0.182
0.414 0.090 0.323
0.472 0.654 0.818
0.767 0.090 0.677
0.836 0.654 0.182
0.910 0.233 0.323
0.910 0.586 0.677


[5]
BaSrYWO6, relaxed, DFT GGA+U; electronic total energy = -7.553 eV/atom; symmetry = No. 2; energy relative to the lowest polymorph listed for this composition = 0.0000 eV/atom; magnetization = 2.000 μB/cell
1.0
5.954 0.000 0.000
0.014 5.959 0.000
0.025 0.018 8.502
Ba Sr Y W O
2 2 2 2 12
Direct
0.013 0.005 0.252
0.987 0.995 0.748
0.481 0.493 0.753
0.519 0.507 0.247
0.000 0.500 0.500
0.500 0.000 0.000
0.000 0.500 0.000
0.500 0.000 0.500
0.043 0.459 0.762
0.202 0.760 0.990
0.232 0.790 0.512
0.275 0.298 0.040
0.303 0.262 0.462
0.481 0.059 0.738
0.519 0.941 0.262
0.697 0.738 0.538
0.725 0.702 0.960
0.768 0.210 0.488
0.798 0.240 0.010
0.957 0.541 0.238


[6]
BaSrYWO6, relaxed, DFT GGA+U; electronic total energy = -7.463 eV/atom; symmetry = No. 216; energy relative to the lowest polymorph listed for this composition = 0.0893 eV/atom; magnetization = 1.000 μB/cell
1.0
0.000 4.234 4.234
4.234 0.000 4.234
4.234 4.234 0.000
Ba Sr Y W O
1 1 1 1 6
Direct
0.000 0.000 0.000
0.500 0.500 0.500
0.750 0.750 0.750
0.250 0.250 0.250
0.014 0.014 0.486
0.014 0.486 0.014
0.014 0.486 0.486
0.486 0.014 0.014
0.486 0.014 0.486
0.486 0.486 0.014


> Look up the electronic total energy of the fourth one.

-7.261 eV/atom